DFT (GGA-PBE) results for a relaxed Si2AuSe crystal.

* E: -3.94 eV per atom
* raw formation energy: 465 meV per atom

Unit cell a=6.105 b=6.105 c=6.105 alpha=144.32 beta=144.32 gamma=51.35
Fractional positions:
Au (0.500, 0.500, 0.000)
Si (0.250, 0.750, 0.500)
Si (0.000, 0.000, 0.000)
Se (0.750, 0.250, 0.500)

=====

DFT (GGA-PBE) results for a relaxed CeAsH2 crystal.

* E: -4.87 eV per atom

Unit cell a=3.918 b=5.667 c=5.319 alpha=90.00 beta=90.00 gamma=110.23
Fractional positions:
H (0.722, 0.444, 0.918)
H (0.722, 0.444, 0.582)
H (0.278, 0.556, 0.082)
H (0.278, 0.556, 0.418)
Ce (0.159, 0.317, 0.750)
Ce (0.841, 0.683, 0.250)
As (0.553, 0.105, 0.250)
As (0.447, 0.895, 0.750)

=====

DFT (GGA-PBE) results for a relaxed ScAl2Os crystal.

* ΔE_f: -97 meV/atom
* E: -6.36 eV per atom

Unit cell a=9.033 b=9.033 c=9.033 alpha=19.07 beta=19.07 gamma=19.07
Fractional positions:
Os (0.250, 0.250, 0.250)
Al (0.511, 0.511, 0.511)
Al (0.989, 0.989, 0.989)
Sc (0.750, 0.750, 0.750)

=====

For the records above, the corresponding calculated density values read 7.16, 6.50, 6.99 Mg/m³.